1.
Density functional theory data (GGA-PBE) for an optimized crystal structure of CdCSeN2.

Output
Magnetic moment: 0.569 μB per atom
V: 64.73 Å³ per cell

```
data_CdCSeN2
_chemical_formula_sum 'Cd1 C1 Se1 N2'
_cell_length_a 3.811
_cell_length_b 3.811
_cell_length_c 4.458
_cell_angle_alpha 90.00
_cell_angle_beta 90.00
_cell_angle_gamma 90.00
_symmetry_space_group_name_H-M 'P 4/m m m'
_symmetry_Int_Tables_number 123
_symmetry_space_group_name_Hall '-P 4 2'
loop_
_atom_site_label
_atom_site_fract_x
_atom_site_fract_y
_atom_site_fract_z
Cd1 0.000 0.000 0.000
C1 0.500 0.500 0.500
Se1 0.500 0.500 0.000
N1 0.000 0.500 0.500
```

***

2.
Density functional theory data (GGA-PBE) for an optimized crystal structure of CdCSeN2.

Output
Magnetic moment: 0.669 μB per atom
V: 101.31 Å³ per cell

```
data_CdCSeN2
_chemical_formula_sum 'Cd1 C1 Se1 N2'
_cell_length_a 4.160
_cell_length_b 4.160
_cell_length_c 5.853
_cell_angle_alpha 90.00
_cell_angle_beta 90.00
_cell_angle_gamma 90.00
_symmetry_space_group_name_H-M 'P 4/m m m'
_symmetry_Int_Tables_number 123
_symmetry_space_group_name_Hall '-P 4 2'
loop_
_atom_site_label
_atom_site_fract_x
_atom_site_fract_y
_atom_site_fract_z
Cd1 0.000 0.000 0.000
C1 0.500 0.500 0.500
Se1 0.000 0.000 0.500
N1 0.000 0.500 0.000
```

***

What should be chosen as the most stable of them? Choose 1.

***

1.
Density functional theory data (GGA-PBE) for an optimized crystal structure of CdCSe2N.

Output
Magnetic moment: 0.394 μB per atom
V: 118.77 Å³ per cell

```
data_CdCSe2N
_chemical_formula_sum 'Cd1 C1 Se2 N1'
_cell_length_a 5.326
_cell_length_b 5.326
_cell_length_c 4.187
_cell_angle_alpha 90.00
_cell_angle_beta 90.00
_cell_angle_gamma 90.00
_symmetry_space_group_name_H-M 'P 4/m m m'
_symmetry_Int_Tables_number 123
_symmetry_space_group_name_Hall '-P 4 2'
loop_
_atom_site_label
_atom_site_fract_x
_atom_site_fract_y
_atom_site_fract_z
Cd1 0.000 0.000 0.000
C1 0.500 0.500 0.500
Se1 0.000 0.500 0.000
N1 0.000 0.000 0.500
```

***

2.
Density functional theory data (GGA-PBE) for an optimized crystal structure of CdCSe2N.

Output
Magnetic moment: 0.000 μB per atom
V: 102.74 Å³ per cell

```
data_CdCSe2N
_chemical_formula_sum 'Cd1 C1 Se2 N1'
_cell_length_a 6.402
_cell_length_b 6.402
_cell_length_c 2.507
_cell_angle_alpha 90.00
_cell_angle_beta 90.00
_cell_angle_gamma 90.00
_symmetry_space_group_name_H-M 'P 4/m m m'
_symmetry_Int_Tables_number 123
_symmetry_space_group_name_Hall '-P 4 2'
loop_
_atom_site_label
_atom_site_fract_x
_atom_site_fract_y
_atom_site_fract_z
Cd1 0.000 0.000 0.000
C1 0.500 0.500 0.500
Se1 0.000 0.500 0.500
N1 0.500 0.500 0.000
```

***

What should be chosen as the most stable of them? Choose 2.

***

1.
Density functional theory data (GGA-PBE) for an optimized crystal structure of CdTe2CN.

Output
Magnetic moment: 0.456 μB per atom
V: 132.94 Å³ per cell

```
data_CdTe2CN
_chemical_formula_sum 'Cd1 Te2 C1 N1'
_cell_length_a 5.685
_cell_length_b 5.685
_cell_length_c 4.113
_cell_angle_alpha 90.00
_cell_angle_beta 90.00
_cell_angle_gamma 90.00
_symmetry_space_group_name_H-M 'P 4/m m m'
_symmetry_Int_Tables_number 123
_symmetry_space_group_name_Hall '-P 4 2'
loop_
_atom_site_label
_atom_site_fract_x
_atom_site_fract_y
_atom_site_fract_z
Cd1 0.000 0.000 0.000
Te1 0.000 0.500 0.000
C1 0.500 0.500 0.500
N1 0.000 0.000 0.500
```

***

2.
Density functional theory data (GGA-PBE) for an optimized crystal structure of CdTe2CN.

Output
Magnetic moment: 0.000 μB per atom
V: 122.14 Å³ per cell

```
data_CdTe2CN
_chemical_formula_sum 'Cd1 Te2 C1 N1'
_cell_length_a 6.802
_cell_length_b 6.802
_cell_length_c 2.640
_cell_angle_alpha 90.00
_cell_angle_beta 90.00
_cell_angle_gamma 90.00
_symmetry_space_group_name_H-M 'P 4/m m m'
_symmetry_Int_Tables_number 123
_symmetry_space_group_name_Hall '-P 4 2'
loop_
_atom_site_label
_atom_site_fract_x
_atom_site_fract_y
_atom_site_fract_z
Cd1 0.000 0.000 0.000
Te1 0.000 0.500 0.500
C1 0.500 0.500 0.500
N1 0.500 0.500 0.000
```

***

What should be chosen as the most stable of them? Choose 2.

***

1.
Density functional theory data (GGA-PBE) for an optimized crystal structure of CdTeCN2.

Output
Magnetic moment: 0.544 μB per atom
V: 73.98 Å³ per cell

```
data_CdTeCN2
_chemical_formula_sum 'Cd1 Te1 C1 N2'
_cell_length_a 3.991
_cell_length_b 3.991
_cell_length_c 4.645
_cell_angle_alpha 90.00
_cell_angle_beta 90.00
_cell_angle_gamma 90.00
_symmetry_space_group_name_H-M 'P 4/m m m'
_symmetry_Int_Tables_number 123
_symmetry_space_group_name_Hall '-P 4 2'
loop_
_atom_site_label
_atom_site_fract_x
_atom_site_fract_y
_atom_site_fract_z
Cd1 0.000 0.000 0.000
Te1 0.500 0.500 0.000
C1 0.500 0.500 0.500
N1 0.000 0.500 0.500
```

***

2.
Density functional theory data (GGA-PBE) for an optimized crystal structure of CdTeCN2.

Output
Magnetic moment: 0.858 μB per atom
V: 113.06 Å³ per cell

```
data_CdTeCN2
_chemical_formula_sum 'Cd1 Te1 C1 N2'
_cell_length_a 4.083
_cell_length_b 4.083
_cell_length_c 6.781
_cell_angle_alpha 90.00
_cell_angle_beta 90.00
_cell_angle_gamma 90.00
_symmetry_space_group_name_H-M 'P 4/m m m'
_symmetry_Int_Tables_number 123
_symmetry_space_group_name_Hall '-P 4 2'
loop_
_atom_site_label
_atom_site_fract_x
_atom_site_fract_y
_atom_site_fract_z
Cd1 0.000 0.000 0.000
Te1 0.000 0.000 0.500
C1 0.500 0.500 0.500
N1 0.000 0.500 0.000
```

***

What should be chosen as the most stable of them? Choose 1.

***

1.
Density functional theory data (GGA-PBE) for an optimized crystal structure of NbCdC3.

Output
Magnetic moment: 0.000 μB per atom
V: 69.08 Å³ per cell

```
data_NbCdC3
_chemical_formula_sum 'Nb1 Cd1 C3'
_cell_length_a 4.103
_cell_length_b 4.103
_cell_length_c 4.103
_cell_angle_alpha 90.00
_cell_angle_beta 90.00
_cell_angle_gamma 90.00
_symmetry_space_group_name_H-M 'P m -3 m'
_symmetry_Int_Tables_number 221
_symmetry_space_group_name_Hall '-P 4 2 3'
loop_
_atom_site_label
_atom_site_fract_x
_atom_site_fract_y
_atom_site_fract_z
Nb1 0.000 0.000 0.000
Cd1 0.500 0.500 0.500
C1 0.000 0.500 0.500
```

***

2.
Density functional theory data (GGA-PBE) for an optimized crystal structure of NbCdC3.

Output
Magnetic moment: 0.000 μB per atom
V: 76.45 Å³ per cell

```
data_NbCdC3
_chemical_formula_sum 'Nb1 Cd1 C3'
_cell_length_a 4.244
_cell_length_b 4.244
_cell_length_c 4.244
_cell_angle_alpha 90.00
_cell_angle_beta 90.00
_cell_angle_gamma 90.00
_symmetry_space_group_name_H-M 'P m -3 m'
_symmetry_Int_Tables_number 221
_symmetry_space_group_name_Hall '-P 4 2 3'
loop_
_atom_site_label
_atom_site_fract_x
_atom_site_fract_y
_atom_site_fract_z
Nb1 0.000 0.000 0.000
Cd1 0.500 0.500 0.500
C1 0.000 0.000 0.500
```

***

What should be chosen as the most stable of them? Choose 2.

***

1.
Density functional theory data (GGA-PBE) for an optimized crystal structure of Nb3CdC.

Output
Magnetic moment: 0.000 μB per atom
V: 82.74 Å³ per cell

```
data_Nb3CdC
_chemical_formula_sum 'Nb3 Cd1 C1'
_cell_length_a 4.357
_cell_length_b 4.357
_cell_length_c 4.357
_cell_angle_alpha 90.00
_cell_angle_beta 90.00
_cell_angle_gamma 90.00
_symmetry_space_group_name_H-M 'P m -3 m'
_symmetry_Int_Tables_number 221
_symmetry_space_group_name_Hall '-P 4 2 3'
loop_
_atom_site_label
_atom_site_fract_x
_atom_site_fract_y
_atom_site_fract_z
Nb1 0.000 0.000 0.500
Cd1 0.500 0.500 0.500
C1 0.000 0.000 0.000
```

***

2.
Density functional theory data (GGA-PBE) for an optimized crystal structure of Nb3CdC.

Output
Magnetic moment: 0.000 μB per atom
V: 122.66 Å³ per cell

```
data_Nb3CdC
_chemical_formula_sum 'Nb3 Cd1 C1'
_cell_length_a 4.969
_cell_length_b 4.969
_cell_length_c 4.969
_cell_angle_alpha 90.00
_cell_angle_beta 90.00
_cell_angle_gamma 90.00
_symmetry_space_group_name_H-M 'P m -3 m'
_symmetry_Int_Tables_number 221
_symmetry_space_group_name_Hall '-P 4 2 3'
loop_
_atom_site_label
_atom_site_fract_x
_atom_site_fract_y
_atom_site_fract_z
Nb1 0.000 0.000 0.500
Cd1 0.000 0.000 0.000
C1 0.500 0.500 0.500
```

***

What should be chosen as the most stable of them? Choose 1.

***

1.
Density functional theory data (GGA-PBE) for an optimized crystal structure of Cd2CO.

Output
Magnetic moment: 0.500 μB per atom
V: 219.71 Å³ per cell

```
data_Cd2CO
_chemical_formula_sum 'Cd8 C4 O4'
_cell_length_a 6.034
_cell_length_b 6.034
_cell_length_c 6.034
_cell_angle_alpha 90.00
_cell_angle_beta 90.00
_cell_angle_gamma 90.00
_symmetry_space_group_name_H-M 'F m -3 m'
_symmetry_Int_Tables_number 225
_symmetry_space_group_name_Hall '-F 4 2 3'
loop_
_atom_site_label
_atom_site_fract_x
_atom_site_fract_y
_atom_site_fract_z
Cd1 0.250 0.250 0.250
C1 0.000 0.000 0.000
O1 0.000 0.000 0.500
```

***

2.
Density functional theory data (GGA-PBE) for an optimized crystal structure of Cd2CO.

Output
Magnetic moment: 0.000 μB per atom
V: 273.46 Å³ per cell

```
data_Cd2CO
_chemical_formula_sum 'Cd8 C4 O4'
_cell_length_a 5.478
_cell_length_b 5.478
_cell_length_c 9.114
_cell_angle_alpha 90.00
_cell_angle_beta 90.00
_cell_angle_gamma 90.00
_symmetry_space_group_name_H-M 'I -4 2 d'
_symmetry_Int_Tables_number 122
_symmetry_space_group_name_Hall 'I -4 2bw'
loop_
_atom_site_label
_atom_site_fract_x
_atom_site_fract_y
_atom_site_fract_z
Cd1 0.248 0.250 0.125
C1 0.000 0.000 0.500
O1 0.000 0.000 0.000
```

***

What should be chosen as the most stable of them? Choose 2.

***

1.
Density functional theory data (GGA-PBE) for an optimized crystal structure of CdC3O.

Output
Magnetic moment: 0.058 μB per atom
V: 80.59 Å³ per cell

```
data_CdC3O
_chemical_formula_sum 'Cd1 C3 O1'
_cell_length_a 4.319
_cell_length_b 4.319
_cell_length_c 4.319
_cell_angle_alpha 90.00
_cell_angle_beta 90.00
_cell_angle_gamma 90.00
_symmetry_space_group_name_H-M 'P m -3 m'
_symmetry_Int_Tables_number 221
_symmetry_space_group_name_Hall '-P 4 2 3'
loop_
_atom_site_label
_atom_site_fract_x
_atom_site_fract_y
_atom_site_fract_z
Cd1 0.000 0.000 0.000
C1 0.000 0.000 0.500
O1 0.500 0.500 0.500
```

***

2.
Density functional theory data (GGA-PBE) for an optimized crystal structure of CdC3O.

Output
Magnetic moment: 0.000 μB per atom
V: 54.05 Å³ per cell

```
data_CdC3O
_chemical_formula_sum 'Cd1 C3 O1'
_cell_length_a 3.781
_cell_length_b 3.781
_cell_length_c 3.781
_cell_angle_alpha 90.00
_cell_angle_beta 90.00
_cell_angle_gamma 90.00
_symmetry_space_group_name_H-M 'P m -3 m'
_symmetry_Int_Tables_number 221
_symmetry_space_group_name_Hall '-P 4 2 3'
loop_
_atom_site_label
_atom_site_fract_x
_atom_site_fract_y
_atom_site_fract_z
Cd1 0.000 0.000 0.000
C1 0.000 0.500 0.500
O1 0.500 0.500 0.500
```

***

What should be chosen as the most stable of them? Choose 2.